Record 1
# K2SiOs, relaxed, DFT GGA-PBE
data_K2SiOs
_chemical_formula_sum 'K2 Si1 Os1'
_cell_length_a 2.7523
_cell_length_b 5.5947
_cell_length_c 5.4354
_cell_angle_alpha 90.00
_cell_angle_beta 90.23
_cell_angle_gamma 90.00
_space_group_name_H-M_alt 'P 1 2/m 1'
_space_group_IT_number 10
_space_group_name_Hall '-P 2y'
loop_
_atom_site_label
_atom_site_type_symbol
_atom_site_fract_x
_atom_site_fract_y
_atom_site_fract_z
K1 K 0.0007 0.0000 0.2488
Si1 Si 0.5000 0.5000 0.5000
Os1 Os 0.5000 0.5000 0.0000
# V   20.9 Å³/atom
# N(E_F)   0.462 states/eV per atom
# ΔE_f (raw)   1035 meV per atom

***

Record 2
# KSiOs2, relaxed, DFT GGA-PBE
data_KSiOs2
_chemical_formula_sum 'K1 Si1 Os2'
_cell_length_a 3.9818
_cell_length_b 3.9818
_cell_length_c 4.2395
_cell_angle_alpha 90.00
_cell_angle_beta 90.00
_cell_angle_gamma 90.00
_space_group_name_H-M_alt 'P 4/m m m'
_space_group_IT_number 123
_space_group_name_Hall '-P 4 2'
loop_
_atom_site_label
_atom_site_type_symbol
_atom_site_fract_x
_atom_site_fract_y
_atom_site_fract_z
K1 K 0.0000 0.0000 0.0000
Si1 Si 0.5000 0.5000 0.0000
Os1 Os 0.0000 0.5000 0.5000
# V   16.8 Å³/atom
# N(E_F)   1.406 states/eV per atom
# ΔE_f (raw)   1593 meV per atom

***

Record 3
# KSi2Os, relaxed, DFT GGA-PBE
data_KSi2Os
_chemical_formula_sum 'K3 Si6 Os3'
_cell_length_a 3.0936
_cell_length_b 3.0936
_cell_length_c 27.6479
_cell_angle_alpha 90.00
_cell_angle_beta 90.00
_cell_angle_gamma 120.00
_space_group_name_H-M_alt 'R -3 m'
_space_group_IT_number 166
_space_group_name_Hall '-R 3 2"'
loop_
_atom_site_label
_atom_site_type_symbol
_atom_site_fract_x
_atom_site_fract_y
_atom_site_fract_z
K1 K 0.0000 0.0000 0.0000
Si1 Si 0.0000 0.0000 0.2300
Os1 Os 0.0000 0.0000 0.5000
# V   19.1 Å³/atom
# N(E_F)   0.235 states/eV per atom
# E above lowest polymorph   0.82 eV per formula unit
# ΔE_f (raw)   217 meV per atom

***

Record 4
# KSiOs, relaxed, DFT GGA-PBE
data_KSiOs
_chemical_formula_sum 'K2 Si2 Os2'
_cell_length_a 2.7995
_cell_length_b 3.9246
_cell_length_c 12.2655
_cell_angle_alpha 90.00
_cell_angle_beta 90.00
_cell_angle_gamma 90.00
_space_group_name_H-M_alt 'I m m 2'
_space_group_IT_number 44
_space_group_name_Hall 'I 2 -2'
loop_
_atom_site_label
_atom_site_type_symbol
_atom_site_fract_x
_atom_site_fract_y
_atom_site_fract_z
K1 K 0.0000 0.0000 0.0000
Si1 Si 0.0000 0.0000 0.2515
Os1 Os 0.0000 0.0000 0.7366
# V   22.5 Å³/atom
# N(E_F)   0.229 states/eV per atom
# E above lowest polymorph   0.00 eV per formula unit
# ΔE_f (raw)   193 meV per atom

***

Record 5
# K2Si2Os, relaxed, DFT GGA-PBE
data_K2Si2Os
_chemical_formula_sum 'K4 Si4 Os2'
_cell_length_a 9.9587
_cell_length_b 9.9587
_cell_length_c 2.5687
_cell_angle_alpha 90.00
_cell_angle_beta 90.00
_cell_angle_gamma 90.00
_space_group_name_H-M_alt 'P 4/m b m'
_space_group_IT_number 127
_space_group_name_Hall '-P 4 2ab'
loop_
_atom_site_label
_atom_site_type_symbol
_atom_site_fract_x
_atom_site_fract_y
_atom_site_fract_z
K1 K 0.1246 0.3754 0.0000
Si1 Si 0.1762 0.6762 0.5000
Os1 Os 0.0000 0.0000 0.0000
# V   25.5 Å³/atom
# N(E_F)   0.819 states/eV per atom
# E above lowest polymorph   2.10 eV per formula unit
# ΔE_f (raw)   1470 meV per atom

***

Record 6
# K2SiOs, relaxed, DFT GGA-PBE
data_K2SiOs
_chemical_formula_sum 'K8 Si4 Os4'
_cell_length_a 6.9964
_cell_length_b 6.9964
_cell_length_c 6.9964
_cell_angle_alpha 90.00
_cell_angle_beta 90.00
_cell_angle_gamma 90.00
_space_group_name_H-M_alt 'F -4 3 m'
_space_group_IT_number 216
_space_group_name_Hall 'F -4 2 3'
loop_
_atom_site_label
_atom_site_type_symbol
_atom_site_fract_x
_atom_site_fract_y
_atom_site_fract_z
K1 K 0.0000 0.0000 0.0000
K2 K 0.2500 0.2500 0.2500
Si1 Si 0.2500 0.2500 0.7500
Os1 Os 0.0000 0.0000 0.5000
# V   21.4 Å³/atom
# N(E_F)   0.522 states/eV per atom
# ΔE_f (raw)   1203 meV per atom

***

Record 7
# KSi2Os, relaxed, DFT GGA-PBE
data_KSi2Os
_chemical_formula_sum 'K2 Si4 Os2'
_cell_length_a 2.8319
_cell_length_b 5.3144
_cell_length_c 10.0676
_cell_angle_alpha 90.00
_cell_angle_beta 90.00
_cell_angle_gamma 90.00
_space_group_name_H-M_alt 'I m m 2'
_space_group_IT_number 44
_space_group_name_Hall 'I 2 -2'
loop_
_atom_site_label
_atom_site_type_symbol
_atom_site_fract_x
_atom_site_fract_y
_atom_site_fract_z
K1 K 0.0000 0.0000 0.0000
Si1 Si 0.0000 0.0000 0.4848
Si2 Si 0.0000 0.5000 0.2021
Os1 Os 0.0000 0.5000 0.7987
# V   18.9 Å³/atom
# N(E_F)   0.718 states/eV per atom
# E above lowest polymorph   3.12 eV per formula unit
# ΔE_f (raw)   792 meV per atom

***

Record 8
# KSiOs2, relaxed, DFT GGA-PBE
data_KSiOs2
_chemical_formula_sum 'K3 Si3 Os6'
_cell_length_a 2.8822
_cell_length_b 2.8822
_cell_length_c 28.1434
_cell_angle_alpha 90.00
_cell_angle_beta 90.00
_cell_angle_gamma 120.00
_space_group_name_H-M_alt 'R -3 m'
_space_group_IT_number 166
_space_group_name_Hall '-R 3 2"'
loop_
_atom_site_label
_atom_site_type_symbol
_atom_site_fract_x
_atom_site_fract_y
_atom_site_fract_z
K1 K 0.0000 0.0000 0.0000
Si1 Si 0.0000 0.0000 0.5000
Os1 Os 0.0000 0.0000 0.2306
# V   16.9 Å³/atom
# N(E_F)   0.691 states/eV per atom
# ΔE_f (raw)   505 meV per atom

***

Record 9
# KSiOs2, relaxed, DFT GGA-PBE
data_KSiOs2
_chemical_formula_sum 'K2 Si2 Os4'
_cell_length_a 5.7865
_cell_length_b 9.4789
_cell_length_c 2.5249
_cell_angle_alpha 90.00
_cell_angle_beta 90.00
_cell_angle_gamma 90.00
_space_group_name_H-M_alt 'C m m m'
_space_group_IT_number 65
_space_group_name_Hall '-C 2 2'
loop_
_atom_site_label
_atom_site_type_symbol
_atom_site_fract_x
_atom_site_fract_y
_atom_site_fract_z
K1 K 0.0000 0.0000 0.0000
Si1 Si 0.0000 0.5000 0.0000
Os1 Os 0.2500 0.2500 0.5000
# V   17.3 Å³/atom
# N(E_F)   0.929 states/eV per atom
# ΔE_f (raw)   1386 meV per atom

***

Record 10
# KSi2Os, relaxed, DFT GGA-PBE
data_KSi2Os
_chemical_formula_sum 'K1 Si2 Os1'
_cell_length_a 2.8344
_cell_length_b 4.5698
_cell_length_c 5.5356
_cell_angle_alpha 90.00
_cell_angle_beta 90.00
_cell_angle_gamma 90.00
_space_group_name_H-M_alt 'P m m m'
_space_group_IT_number 47
_space_group_name_Hall '-P 2 2'
loop_
_atom_site_label
_atom_site_type_symbol
_atom_site_fract_x
_atom_site_fract_y
_atom_site_fract_z
K1 K 0.0000 0.0000 0.0000
Si1 Si 0.0000 0.5000 0.5000
Si2 Si 0.5000 0.5000 0.0000
Os1 Os 0.5000 0.0000 0.5000
# V   17.9 Å³/atom
# N(E_F)   0.758 states/eV per atom
# E above lowest polymorph   4.74 eV per formula unit
# ΔE_f (raw)   1196 meV per atom

***

Record 11
# KSi2Os, relaxed, DFT GGA-PBE
data_KSi2Os
_chemical_formula_sum 'K2 Si4 Os2'
_cell_length_a 5.9043
_cell_length_b 9.3066
_cell_length_c 2.5762
_cell_angle_alpha 90.00
_cell_angle_beta 96.74
_cell_angle_gamma 90.00
_space_group_name_H-M_alt 'C 1 2/m 1'
_space_group_IT_number 12
_space_group_name_Hall '-C 2y'
loop_
_atom_site_label
_atom_site_type_symbol
_atom_site_fract_x
_atom_site_fract_y
_atom_site_fract_z
K1 K 0.0000 0.0000 0.0000
Si1 Si 0.2500 0.2500 0.5000
Os1 Os 0.0000 0.5000 0.0000
# V   17.6 Å³/atom
# N(E_F)   0.729 states/eV per atom
# E above lowest polymorph   4.10 eV per formula unit
# ΔE_f (raw)   1036 meV per atom

***

Record 12
# K2SiOs, relaxed, DFT GGA-PBE
data_K2SiOs
_chemical_formula_sum 'K8 Si4 Os4'
_cell_length_a 12.6950
_cell_length_b 12.6950
_cell_length_c 4.5074
_cell_angle_alpha 90.00
_cell_angle_beta 90.00
_cell_angle_gamma 90.00
_space_group_name_H-M_alt 'I -4 2 d'
_space_group_IT_number 122
_space_group_name_Hall 'I -4 2bw'
loop_
_atom_site_label
_atom_site_type_symbol
_atom_site_fract_x
_atom_site_fract_y
_atom_site_fract_z
K1 K 0.0022 0.7500 0.1250
Si1 Si 0.0000 0.0000 0.5000
Os1 Os 0.0000 0.0000 0.0000
# V   45.4 Å³/atom
# N(E_F)   0.832 states/eV per atom
# ΔE_f (raw)   689 meV per atom

***

Record 13
# KSiOs2, relaxed, DFT GGA-PBE
data_KSiOs2
_chemical_formula_sum 'K2 Si2 Os4'
_cell_length_a 10.4310
_cell_length_b 2.7639
_cell_length_c 6.2655
_cell_angle_alpha 90.00
_cell_angle_beta 109.70
_cell_angle_gamma 90.00
_space_group_name_H-M_alt 'C 1 2/m 1'
_space_group_IT_number 12
_space_group_name_Hall '-C 2y'
loop_
_atom_site_label
_atom_site_type_symbol
_atom_site_fract_x
_atom_site_fract_y
_atom_site_fract_z
K1 K 0.0000 0.0000 0.0000
Si1 Si 0.0000 0.5000 0.5000
Os1 Os 0.1995 0.0000 0.6220
# V   21.3 Å³/atom
# N(E_F)   0.421 states/eV per atom
# ΔE_f (raw)   571 meV per atom

***

Record 14
# K2SiOs, relaxed, DFT GGA-PBE
data_K2SiOs
_chemical_formula_sum 'K4 Si2 Os2'
_cell_length_a 5.4408
_cell_length_b 11.2013
_cell_length_c 2.7470
_cell_angle_alpha 90.00
_cell_angle_beta 90.19
_cell_angle_gamma 90.00
_space_group_name_H-M_alt 'C 1 2/m 1'
_space_group_IT_number 12
_space_group_name_Hall '-C 2y'
loop_
_atom_site_label
_atom_site_type_symbol
_atom_site_fract_x
_atom_site_fract_y
_atom_site_fract_z
K1 K 0.2500 0.2500 0.0000
Si1 Si 0.0000 0.0000 0.5000
Os1 Os 0.0000 0.5000 0.5000
# V   20.9 Å³/atom
# N(E_F)   0.638 states/eV per atom
# ΔE_f (raw)   1038 meV per atom

***

Record 15
# KSiOs2, relaxed, DFT GGA-PBE
data_KSiOs2
_chemical_formula_sum 'K4 Si4 Os8'
_cell_length_a 4.8691
_cell_length_b 4.8691
_cell_length_c 16.6565
_cell_angle_alpha 90.00
_cell_angle_beta 90.00
_cell_angle_gamma 90.00
_space_group_name_H-M_alt 'I -4 2 d'
_space_group_IT_number 122
_space_group_name_Hall 'I -4 2bw'
loop_
_atom_site_label
_atom_site_type_symbol
_atom_site_fract_x
_atom_site_fract_y
_atom_site_fract_z
K1 K 0.0000 0.0000 0.0000
Si1 Si 0.0000 0.0000 0.5000
Os1 Os 0.0199 0.7500 0.6250
# V   24.7 Å³/atom
# N(E_F)   1.018 states/eV per atom
# ΔE_f (raw)   938 meV per atom